Record 1
KNdTlIn: relaxed, GGA-PBE.

Cell: 5.649 5.649 5.649 Å, 60.00 60.00 60.00°
Element x y z (fractional)
1 K 0.000 0.000 0.000
2 Nd 0.500 0.500 0.500
3 Tl 0.750 0.750 0.750
4 In 0.250 0.250 0.250

Calculated values
ΔE_f: -0.508 eV per formula unit
DOS at the Fermi energy: 1.91 states/eV/cell


Record 2
KIn3Ni: relaxed, GGA-PBE.

Cell: 6.000 6.000 6.000 Å, 90.00 90.00 90.00°
Element x y z (fractional)
1 K 0.000 0.000 0.000
2 In 0.000 0.000 0.500
3 In 0.000 0.500 0.000
4 In 0.500 0.000 0.000
5 Ni 0.500 0.500 0.500

Calculated values
ΔE_f: 7.261 eV per formula unit
Energy relative to the lowest polymorph listed for this composition: 1.5371 eV/atom
DOS at the Fermi energy: 8.87 states/eV/cell


Record 3
KInNi2: relaxed, GGA-PBE.

Cell: 9.224 9.224 9.224 Å, 20.13 20.13 20.13°
Element x y z (fractional)
1 K 0.000 0.000 0.000
2 In 0.500 0.500 0.500
3 Ni 0.234 0.234 0.234
4 Ni 0.766 0.766 0.766

Calculated values
ΔE_f: 2.360 eV per formula unit
DOS at the Fermi energy: 3.09 states/eV/cell


Record 4
KInNi2: relaxed, GGA-PBE.

Cell: 6.228 6.228 6.228 Å, 104.65 104.65 119.61°
Element x y z (fractional)
1 K 0.000 0.000 0.000
2 K 0.750 0.250 0.500
3 In 0.250 0.750 0.500
4 In 0.500 0.500 0.000
5 Ni 0.182 0.125 0.557
6 Ni 0.375 0.818 0.943
7 Ni 0.568 0.625 0.443
8 Ni 0.875 0.432 0.057

Calculated values
ΔE_f: 2.835 eV per formula unit
DOS at the Fermi energy: 3.74 states/eV/cell


Record 5
KInNi: relaxed, GGA-PBE.

Cell: 4.848 4.848 4.848 Å, 60.00 60.00 60.00°
Element x y z (fractional)
1 K 0.000 0.000 0.000
2 In 0.500 0.500 0.500
3 Ni 0.250 0.250 0.250

Calculated values
ΔE_f: 1.401 eV per formula unit
DOS at the Fermi energy: 1.61 states/eV/cell


Record 6
K2In2Ni: relaxed, GGA-PBE.

Cell: 7.046 7.046 6.235 Å, 90.00 90.00 90.00°
Element x y z (fractional)
1 K 0.174 0.326 0.000
2 K 0.326 0.826 0.000
3 K 0.674 0.174 0.000
4 K 0.826 0.674 0.000
5 In 0.181 0.681 0.500
6 In 0.319 0.181 0.500
7 In 0.681 0.819 0.500
8 In 0.819 0.319 0.500
9 Ni 0.000 0.000 0.500
10 Ni 0.500 0.500 0.500

Calculated values
ΔE_f: 0.506 eV per formula unit
DOS at the Fermi energy: 4.37 states/eV/cell


Record 7
KInNi2: relaxed, GGA-PBE.

Cell: 4.406 4.406 6.456 Å, 109.65 109.65 59.98°
Element x y z (fractional)
1 K 0.000 0.000 0.000
2 In 0.500 0.500 0.500
3 Ni 0.174 0.174 0.524
4 Ni 0.826 0.826 0.476

Calculated values
ΔE_f: 0.403 eV per formula unit
DOS at the Fermi energy: 3.04 states/eV/cell


Record 8
KInNi2: relaxed, GGA-PBE.

Cell: 4.789 4.789 4.789 Å, 60.00 60.00 60.00°
Element x y z (fractional)
1 K 0.000 0.000 0.000
2 In 0.250 0.250 0.250
3 Ni 0.500 0.500 0.500
4 Ni 0.750 0.750 0.750

Calculated values
ΔE_f: 3.018 eV per formula unit
DOS at the Fermi energy: 6.12 states/eV/cell


Record 9
KInNi: relaxed, GGA-PBE.

Cell: 4.403 4.403 5.339 Å, 90.00 90.00 120.00°
Element x y z (fractional)
1 K 0.000 0.000 0.000
2 In 0.333 0.667 0.500
3 Ni 0.667 0.333 0.499

Calculated values
ΔE_f: 0.654 eV per formula unit
DOS at the Fermi energy: 2.13 states/eV/cell


Record 10
KInNi2: relaxed, GGA-PBE.

Cell: 6.060 6.060 6.060 Å, 153.09 129.96 57.73°
Element x y z (fractional)
1 K 0.000 0.000 0.000
2 In 0.702 0.202 0.500
3 Ni 0.294 0.794 0.500
4 Ni 0.480 0.480 0.000

Calculated values
ΔE_f: 1.708 eV per formula unit
DOS at the Fermi energy: 4.00 states/eV/cell


Record 11
K2InNi2: relaxed, GGA-PBE.

Cell: 7.523 7.523 7.523 Å, 146.85 146.85 47.58°
Element x y z (fractional)
1 K 0.250 0.750 0.500
2 K 0.750 0.250 0.500
3 In 0.000 0.000 0.000
4 Ni 0.420 0.420 0.000
5 Ni 0.580 0.580 0.000

Calculated values
ΔE_f: 4.182 eV per formula unit
Energy relative to the lowest polymorph listed for this composition: 0.5091 eV/atom
DOS at the Fermi energy: 12.18 states/eV/cell


Record 12
KInNi2: relaxed, GGA-PBE.

Cell: 3.187 3.187 8.125 Å, 90.00 90.00 90.00°
Element x y z (fractional)
1 K 0.000 0.000 0.000
2 In 0.500 0.500 0.634
3 Ni 0.000 0.000 0.409
4 Ni 0.500 0.500 0.312

Calculated values
ΔE_f: 1.099 eV per formula unit
DOS at the Fermi energy: 5.14 states/eV/cell


Number 1: final energy -11.48 eV/f.u., total magnetic moment 0.000 μB/atom. Number 2: final energy -7.83 eV/f.u., total magnetic moment 0.000 μB/atom. Number 3: final energy -13.04 eV/f.u., total magnetic moment 0.000 μB/atom. Number 4: final energy -12.56 eV/f.u., total magnetic moment 0.000 μB/atom. Number 5: final energy -8.22 eV/f.u., total magnetic moment 0.000 μB/atom. Number 6: final energy -12.95 eV/f.u., total magnetic moment 0.000 μB/atom. Number 7: final energy -15.00 eV/f.u., total magnetic moment 0.000 μB/atom. Number 8: final energy -12.38 eV/f.u., total magnetic moment 0.157 μB/atom. Number 9: final energy -8.96 eV/f.u., total magnetic moment 0.000 μB/atom. Number 10: final energy -13.69 eV/f.u., total magnetic moment 0.051 μB/atom. Number 11: final energy -12.31 eV/f.u., total magnetic moment 0.167 μB/atom. Number 12: final energy -14.30 eV/f.u., total magnetic moment 0.001 μB/atom.